Entry 1:
A plane-wave DFT calculation with PBE+U was carried out for a geometry-optimized Cs4Sm3MnO8 structure.

The calculation puts the size of the total moment at 0.25 μB/atom. The total energy is -199.76 eV per cell. The density comes out at 6249 kg/m³.

It has space group C2/m (No. 12), with a = 12.7629 Å, b = 7.0096 Å, c = 7.9563 Å, α = 90.00°, β = 119.50° and γ = 90.00°. The asymmetric unit holds Cs at (0.0000, 0.0000, 0.0000), Cs at (0.0000, 0.5000, 0.0000), Cs at (0.2500, 0.2500, 0.0000), Sm at (0.0000, 0.0000, 0.5000), Sm at (0.2500, 0.2500, 0.5000), Mn at (0.0000, 0.5000, 0.5000), O at (0.0288, 0.2845, 0.3530), O at (0.2140, 0.0000, 0.6675) and O at (0.2417, 0.0000, 0.3015).



Entry 2:
A plane-wave DFT calculation with PBE+U was carried out for a geometry-optimized Cs2MnSnO4 structure.

The calculation puts the size of the total moment at 0.63 μB/atom. The total energy is -91.10 eV per cell. The density comes out at 4907 kg/m³.

It has space group I-4 (No. 82), with a = 6.3018 Å, b = 6.3018 Å, c = 8.5806 Å, α = 90.00°, β = 90.00° and γ = 90.00°. The asymmetric unit holds Cs at (0.0000, 0.0000, 0.0000), Cs at (0.0000, 0.5000, 0.2500), Mn at (0.0000, 0.0000, 0.5000), Sn at (0.0000, 0.5000, 0.7500) and O at (0.1124, 0.2603, 0.6231).



Entry 3:
A plane-wave DFT calculation with PBE+U was carried out for a geometry-optimized Cs2TaMnO6 structure.

The calculation puts the size of the total moment at 0.40 μB/atom. The total energy is -68.95 eV per cell. The density comes out at 4928 kg/m³.

It has space group P-3m1 (No. 164), with a = 6.6452 Å, b = 6.6452 Å, c = 5.2666 Å, α = 90.00°, β = 90.00° and γ = 120.00°. The asymmetric unit holds Cs at (0.3333, 0.6667, 0.3099), Ta at (0.0000, 0.0000, 0.0000), Mn at (0.0000, 0.0000, 0.5000) and O at (0.1287, 0.2574, 0.7419).



Entry 4:
A plane-wave DFT calculation with PBE+U was carried out for a geometry-optimized Cs3Tb2MnO6 structure.

The calculation puts the size of the total moment at 0.33 μB/atom. The total energy is -149.55 eV per cell. The density comes out at 6558 kg/m³.

It has space group C2/m (No. 12), with a = 6.2778 Å, b = 10.2370 Å, c = 7.2380 Å, α = 90.00°, β = 109.19° and γ = 90.00°. The asymmetric unit holds Cs at (0.0000, 0.0000, 0.0000), Cs at (0.0000, 0.3340, 0.0000), Tb at (0.0000, 0.1634, 0.5000), Mn at (0.0000, 0.5000, 0.5000), O at (0.2014, 0.0000, 0.6923) and O at (0.2068, 0.3520, 0.6454).



Entry 5:
A plane-wave DFT calculation with PBE+U was carried out for a geometry-optimized CsMnTeO4 structure.

The calculation puts the size of the total moment at 0.57 μB/atom. The total energy is -80.49 eV per cell. The density comes out at 3947 kg/m³.

It has space group P2_1/m (No. 11), with a = 7.3249 Å, b = 6.1130 Å, c = 7.9430 Å, α = 90.00°, β = 116.15° and γ = 90.00°. The asymmetric unit holds Cs at (0.2081, 0.2500, 0.4977), Mn at (0.4811, 0.2500, 0.1764), Te at (0.2661, 0.7500, 0.0489), O at (0.2455, 0.7500, 0.7364), O at (0.3293, 0.5049, 0.2192) and O at (0.4590, 0.2500, 0.9263).



Entry 6:
A plane-wave DFT calculation with PBE+U was carried out for a geometry-optimized Cs2MnTeO6 structure.

The calculation puts the size of the total moment at 0.30 μB/atom. The total energy is -55.79 eV per cell. The density comes out at 4577 kg/m³.

It has space group P-3m1 (No. 164), with a = 6.5986 Å, b = 6.5986 Å, c = 5.2374 Å, α = 90.00°, β = 90.00° and γ = 120.00°. The asymmetric unit holds Cs at (0.3333, 0.6667, 0.2134), Mn at (0.0000, 0.0000, 0.0000), Te at (0.0000, 0.0000, 0.5000) and O at (0.1294, 0.2588, 0.7489).



Entry 7:
A plane-wave DFT calculation with PBE+U was carried out for a geometry-optimized CsMn2Te2O6 structure.

The calculation puts the size of the total moment at 0.82 μB/atom. The total energy is -64.90 eV per cell. The density comes out at 4849 kg/m³.

It has space group P-1 (No. 2), with a = 5.9566 Å, b = 6.1777 Å, c = 6.6282 Å, α = 110.38°, β = 99.76° and γ = 109.79°. The asymmetric unit holds Cs at (0.0000, 0.0000, 0.0000), Mn at (0.2672, 0.5561, 0.9341), Te at (0.2610, 0.8990, 0.5507), O at (0.1204, 0.6213, 0.2104), O at (0.3602, 0.7353, 0.7202) and O at (0.3905, 0.2576, 0.8301).



Entry 8:
A plane-wave DFT calculation with PBE+U was carried out for a geometry-optimized CsTiMnO4 structure.

The calculation puts the size of the total moment at 0.57 μB/atom. The total energy is -101.45 eV per cell. The density comes out at 4011 kg/m³.

It has space group P2_1/m (No. 11), with a = 5.4835 Å, b = 5.7580 Å, c = 7.8600 Å, α = 90.00°, β = 90.81° and γ = 90.00°. The asymmetric unit holds Cs at (0.2236, 0.2500, 0.1159), Ti at (0.3332, 0.2500, 0.6375), Mn at (0.1835, 0.7500, 0.4659), O at (0.1069, 0.0141, 0.6489), O at (0.3728, 0.7500, 0.2445) and O at (0.4904, 0.2500, 0.4348).



Entry 9:
A plane-wave DFT calculation with PBE+U was carried out for a geometry-optimized Cs2TiMnO4 structure.

The calculation puts the size of the total moment at 0.62 μB/atom. The total energy is -428.46 eV per cell. The density comes out at 3800 kg/m³.

It has space group Fddd (No. 70, origin choice 2), with a = 5.3663 Å, b = 12.8041 Å, c = 22.0088 Å, α = 90.00°, β = 90.00° and γ = 90.00°. The asymmetric unit holds Cs at (0.1250, 0.1250, 0.2987), Ti at (0.1250, 0.1250, 0.6250), Mn at (0.1250, 0.1250, 0.1250) and O at (0.0959, 0.2939, 0.8311).



Entry 10:
A plane-wave DFT calculation with PBE+U was carried out for a geometry-optimized CsTi2Mn2O7 structure.

The calculation puts the size of the total moment at 0.75 μB/atom. The total energy is -188.34 eV per cell. The density comes out at 4349 kg/m³.

It has space group Imm2 (No. 44), with a = 3.9415 Å, b = 16.4086 Å, c = 5.3196 Å, α = 90.00°, β = 90.00° and γ = 90.00°. The asymmetric unit holds Cs at (0.0000, 0.0000, 0.0000), Ti at (0.0000, 0.3862, 0.0133), Mn at (0.0000, 0.2507, 0.4455), O at (0.0000, 0.1270, 0.4469), O at (0.0000, 0.2714, 0.8683), O at (0.0000, 0.3682, 0.3402) and O at (0.0000, 0.5000, 0.9612).



Entry 11:
A plane-wave DFT calculation with PBE+U was carried out for a geometry-optimized Cs2MnTlO4 structure.

The calculation puts the size of the total moment at 0.25 μB/atom. The total energy is -82.83 eV per cell. The density comes out at 5218 kg/m³.

It has space group Pmmn (No. 59, origin choice 2), with a = 6.2646 Å, b = 8.8022 Å, c = 6.8001 Å, α = 90.00°, β = 90.00° and γ = 90.00°. The asymmetric unit holds Cs at (0.2500, 0.0093, 0.2428), Mn at (0.2500, 0.7500, 0.6696), Tl at (0.2500, 0.2500, 0.7307), O at (0.0247, 0.7500, 0.5171) and O at (0.2500, 0.5876, 0.8075).



Entry 12:
A plane-wave DFT calculation with PBE+U was carried out for a geometry-optimized CsMnTlO4 structure.

The calculation puts the size of the total moment at 0.14 μB/atom. The total energy is -147.50 eV per cell. The density comes out at 3434 kg/m³.

It has space group F-43m (No. 216), with a = 9.5918 Å, b = 9.5918 Å, c = 9.5918 Å, α = 90.00°, β = 90.00° and γ = 90.00°. The asymmetric unit holds Cs at (0.0000, 0.0000, 0.0000), Mn at (0.0000, 0.0000, 0.5000), Tl at (0.2500, 0.2500, 0.7500) and O at (0.1007, 0.1007, 0.6007).



Entry 13:
A plane-wave DFT calculation with PBE+U was carried out for a geometry-optimized CsMn2TlO8 structure.

The calculation puts the size of the total moment at 0.00 μB/atom. The total energy is -67.89 eV per cell. The density comes out at 3564 kg/m³.

It has space group P-3 (No. 147), with a = 5.7824 Å, b = 5.7824 Å, c = 9.2547 Å, α = 90.00°, β = 90.00° and γ = 120.00°. The asymmetric unit holds Cs at (0.0000, 0.0000, 0.0000), Mn at (0.3333, 0.6667, 0.7677), Tl at (0.0000, 0.0000, 0.5000), O at (0.1046, 0.3762, 0.7102) and O at (0.3333, 0.6667, 0.9426).



Entry 14:
A plane-wave DFT calculation with PBE+U was carried out for a geometry-optimized Cs2UMnO6 structure.

The calculation puts the size of the total moment at 0.30 μB/atom. The total energy is -141.04 eV per cell. The density comes out at 5940 kg/m³.

It has space group I4mm (No. 107), with a = 5.6283 Å, b = 5.6283 Å, c = 11.5557 Å, α = 90.00°, β = 90.00° and γ = 90.00°. The asymmetric unit holds Cs at (0.0000, 0.5000, 0.0000), U at (0.0000, 0.0000, 0.2545), Mn at (0.0000, 0.0000, 0.7344), O at (0.0000, 0.0000, 0.0857), O at (0.0000, 0.0000, 0.5825) and O at (0.2416, 0.2416, 0.7655).



Entry 15:
A plane-wave DFT calculation with PBE+U was carried out for a geometry-optimized CsUMnO5 structure.

The calculation puts the size of the total moment at 0.00 μB/atom. The total energy is -242.03 eV per cell. The density comes out at 5949 kg/m³.

It has space group C2/c (No. 15), with a = 7.7246 Å, b = 10.2869 Å, c = 8.0870 Å, α = 90.00°, β = 118.48° and γ = 90.00°. The asymmetric unit holds Cs at (0.0000, 0.0819, 0.2500), U at (0.2500, 0.2500, 0.0000), Mn at (0.0000, 0.4428, 0.2500), O at (0.0000, 0.1925, 0.7500), O at (0.0843, 0.3255, 0.1262) and O at (0.2023, 0.4375, 0.8855).



Entry 16:
A plane-wave DFT calculation with PBE+U was carried out for a geometry-optimized Cs3U2MnO9 structure.

The calculation puts the size of the total moment at 0.26 μB/atom. The total energy is -112.78 eV per cell. The density comes out at 7168 kg/m³.

It has space group P-3m1 (No. 164), with a = 6.1668 Å, b = 6.1668 Å, c = 7.5522 Å, α = 90.00°, β = 90.00° and γ = 120.00°. The asymmetric unit holds Cs at (0.0000, 0.0000, 0.0000), Cs at (0.3333, 0.6667, 0.6608), U at (0.3333, 0.6667, 0.1721), Mn at (0.0000, 0.0000, 0.5000), O at (0.0000, 0.5000, 0.0000) and O at (0.1746, 0.3492, 0.3227).



Entry 17:
A plane-wave DFT calculation with PBE+U was carried out for a geometry-optimized CsU2MnO8 structure.

The calculation puts the size of the total moment at 0.17 μB/atom. The total energy is -99.57 eV per cell. The density comes out at 6587 kg/m³.

It has space group P-1 (No. 2), with a = 4.4350 Å, b = 4.4356 Å, c = 10.2235 Å, α = 96.58°, β = 91.65° and γ = 91.51°. The asymmetric unit holds Cs at (0.0000, 0.0000, 0.0000), U at (0.3736, 0.4064, 0.6699), Mn at (0.0000, 0.0000, 0.5000), O at (0.1424, 0.7170, 0.3461), O at (0.2505, 0.8864, 0.6548), O at (0.3045, 0.2976, 0.4803) and O at (0.4128, 0.4880, 0.8539).



Entry 18:
A plane-wave DFT calculation with PBE+U was carried out for a geometry-optimized Cs2MnVO4 structure.

The calculation puts the size of the total moment at 0.50 μB/atom. The total energy is -398.99 eV per cell. The density comes out at 3922 kg/m³.

It has space group Fddd (No. 70, origin choice 2), with a = 5.1813 Å, b = 12.7611 Å, c = 22.3166 Å, α = 90.00°, β = 90.00° and γ = 90.00°. The asymmetric unit holds Cs at (0.1250, 0.1250, 0.2978), Mn at (0.1250, 0.1250, 0.1250), V at (0.1250, 0.1250, 0.6250) and O at (0.0904, 0.2917, 0.8304).



Entry 19:
A plane-wave DFT calculation with PBE+U was carried out for a geometry-optimized Cs2MnV2O7 structure.

The calculation puts the size of the total moment at 0.42 μB/atom. The total energy is -246.38 eV per cell. The density comes out at 3931 kg/m³.

It has space group R-3m (No. 166, hexagonal axes), with a = 6.0550 Å, b = 6.0550 Å, c = 21.3367 Å, α = 90.00°, β = 90.00° and γ = 120.00°. The asymmetric unit holds Cs at (0.0000, 0.0000, 0.2310), Mn at (0.0000, 0.0000, 0.0000), V at (0.0000, 0.0000, 0.4144), O at (0.0000, 0.0000, 0.5000) and O at (0.0196, 0.5098, 0.2759).



Entry 20:
A plane-wave DFT calculation with PBE+U was carried out for a geometry-optimized CsMnVO4 structure.

The calculation puts the size of the total moment at 0.71 μB/atom. The total energy is -97.72 eV per cell. The density comes out at 3536 kg/m³.

It has space group P2_1/m (No. 11), with a = 5.5249 Å, b = 5.9759 Å, c = 8.7516 Å, α = 90.00°, β = 100.21° and γ = 90.00°. The asymmetric unit holds Cs at (0.2374, 0.2500, 0.3335), Mn at (0.3620, 0.7500, 0.9984), V at (0.1669, 0.2500, 0.8016), O at (0.0091, 0.2500, 0.6180), O at (0.0355, 0.7500, 0.0685) and O at (0.3720, 0.0176, 0.8427).